No. 1
An optimized crystal structure of BaLa2CoHg. Source: Alexandria, functional GGA-PBE.

- polymorph energy (0 for the lowest one) (eV/atom) = 0.023
- spin magnetization (μB per formula unit) = 0.000
- formation energy from the elements (eV/atom) = -0.08

Lattice parameters (Å, degrees): 5.238 5.238 6.138 90.00 90.00 90.00
Space group P4/mmm (No. 123)
Inequivalent atoms, fractional coordinates:
Ba  0.000  0.000  0.000 x1
La  0.000  0.500  0.500 x2
Co  0.000  0.000  0.500 x1
Hg  0.500  0.500  0.000 x1

***

No. 2
An optimized crystal structure of Ba2CoHgN. Source: Alexandria, functional GGA-PBE.

- spin magnetization (μB per formula unit) = 0.000
- formation energy from raw total energies (meV per atom) = -389

Lattice parameters (Å, degrees): 5.920 5.920 3.600 90.00 90.00 90.00
Space group P4/mmm (No. 123)
Inequivalent atoms, fractional coordinates:
Ba  0.000  0.500  0.000 x2
Co  0.000  0.000  0.500 x1
Hg  0.500  0.500  0.500 x1
N  0.000  0.000  0.000 x1

***

No. 3
An optimized crystal structure of BaCoHgP. Source: Alexandria, functional GGA-PBE.

- spin magnetization (μB per formula unit) = 0.698
- formation energy from the elements (eV/atom) = -0.62

Lattice parameters (Å, degrees): 4.036 4.036 11.847 90.00 90.00 90.00
Space group P4/nmm (No. 129, origin choice 2)
Inequivalent atoms, fractional coordinates:
Ba  0.250  0.250  0.231 x2
Co  0.250  0.750  0.000 x2
Hg  0.250  0.750  0.500 x2
P  0.250  0.250  0.911 x2

***

No. 4
An optimized crystal structure of BaCoHg2Sb. Source: Alexandria, functional GGA-PBE.

- spin magnetization (μB per formula unit) = 0.585
- formation energy from raw total energies (meV per atom) = -267

Lattice parameters (Å, degrees): 5.167 5.167 5.011 90.00 90.00 90.00
Space group P4/mmm (No. 123)
Inequivalent atoms, fractional coordinates:
Ba  0.000  0.000  0.000 x1
Co  0.500  0.500  0.500 x1
Hg  0.000  0.500  0.500 x2
Sb  0.500  0.500  0.000 x1

***

No. 5
An optimized crystal structure of Ba2CoTcHg. Source: Alexandria, functional GGA-PBE.

- spin magnetization (μB per formula unit) = 1.089
- formation energy from the elements (eV/atom) = 0.47

Lattice parameters (Å, degrees): 6.028 6.028 4.417 90.00 90.00 90.00
Space group P4/mmm (No. 123)
Inequivalent atoms, fractional coordinates:
Ba  0.000  0.500  0.000 x2
Co  0.000  0.000  0.500 x1
Tc  0.000  0.000  0.000 x1
Hg  0.500  0.500  0.500 x1

***

No. 6
An optimized crystal structure of BaTlCoHg2. Source: Alexandria, functional GGA-PBE.

- spin magnetization (μB per formula unit) = 0.003
- formation energy from the elements (eV/atom) = -0.14

Lattice parameters (Å, degrees): 5.195 5.195 5.061 90.00 90.00 90.00
Space group P4/mmm (No. 123)
Inequivalent atoms, fractional coordinates:
Ba  0.000  0.000  0.000 x1
Tl  0.500  0.500  0.000 x1
Co  0.500  0.500  0.500 x1
Hg  0.000  0.500  0.500 x2

***

- What is the spin magnetization in the first record?
  0.000 μB per formula unit

***

- spin magnetization of number 1 (BaLa2CoHg)?
  0.000 μB per formula unit

***

- What is the spin magnetization in the first record?
  0.000 μB per formula unit

***

- The highest spin magnetization belongs to which entry?
  Ba2CoTcHg